16
Lattice="-0.4981 3.8642 -0.0054 -8.7683 -1.1297 0.3517 3.8874 0.5169 11.4015" Properties=species:S:1:pos:R:3 comment="PBEsol TlAsSe2, optimized geometry" total_energy_ev_per_atom=-4.0740 spacegroup=P2_1 pbc="T T T"
Tl -5.4234 0.2854 1.8497
Tl 0.7470 1.0691 4.0813
Tl 0.0445 2.9655 9.8981
Tl -6.1222 2.1529 7.6666
As -1.2009 0.8319 1.2276
As -4.1788 2.4252 10.5202
As -3.7006 0.4931 4.7150
As -1.6737 2.7218 7.0329
Se 2.7846 1.3527 10.2032
Se -2.0162 2.6804 4.6159
Se -3.3596 0.5465 7.1320
Se -5.7511 2.1998 4.6797
Se -3.1449 2.5415 1.5386
Se 0.3751 1.0286 7.0682
Se -8.1630 1.8938 1.5446
Se -2.2337 0.7068 10.2093


4
Lattice="2.6215 0.0000 0.0000 1.3108 2.2703 0.0000 1.3108 0.7568 8.3415" Properties=species:S:1:pos:R:3 comment="PBEsol CuNiRh2, optimized geometry" formation_energy_ev_per_fu=0.30 spacegroup=R-3m pbc="T T T"
Ni 0.0000 0.0000 0.0000
Rh 1.3108 0.7568 2.0468
Rh 3.9323 2.2703 6.2947
Cu 2.6215 1.5135 4.1707


5
Lattice="4.3483 0.0000 0.0000 0.0000 4.3483 0.0000 0.0000 0.0000 4.3483" Properties=species:S:1:pos:R:3 comment="PBEsol ZrPbC3, optimized geometry" formation_energy_ev_per_fu=9.36 spacegroup=Pm-3m pbc="T T T"
Pb 2.1741 2.1741 2.1741
C 0.0000 2.1741 0.0000
C 0.0000 0.0000 2.1741
C 2.1741 0.0000 0.0000
Zr 0.0000 0.0000 0.0000


5
Lattice="-0.6491 1.4530 3.4355 2.4132 -2.8887 -0.4086 4.4547 3.8316 -0.7789" Properties=species:S:1:pos:R:3 comment="PBEsol Ce2O3, optimized geometry" total_energy_ev_per_atom=-9.0773 spacegroup=P-3m1 pbc="T T T"
O 4.2508 1.0171 0.3730
O 1.9680 1.3789 1.8750
O 0.0000 0.0000 0.0000
Ce 2.4765 -0.5091 0.6832
Ce 3.7423 2.9050 1.5648